A plane-wave DFT calculation with PBE-GGA was carried out for an optimized crystal structure of SrEuNbBiO6.

Properties
Energy above the most stable polymorph in this dataset ... 0 meV/atom
Magnetic moment ... 6.99 μB per formula unit
E ... -8.008 eV/atom

a b c (Å): 5.8580 6.0910 8.4106
angles (deg): 90.13 90.19 90.02
With the nearest neighbours (Å) after each atom.
Space group P-1 (No. 2)
Asymmetric unit:
Sr: 0.0121 0.0519 0.2530 (multiplicity 2)  5 O 2.49-2.76
Eu: 0.4816 0.5530 0.2488 (multiplicity 2)  5 O 2.44-2.71
Nb: 0.0000 0.5000 0.0000 (multiplicity 1)  6 O 2.04-2.05
Nb: 0.5000 0.0000 0.5000 (multiplicity 1)  6 O 2.03-2.05
Bi: 0.0000 0.5000 0.5000 (multiplicity 1)  6 O 2.35-2.39
Bi: 0.5000 0.0000 0.0000 (multiplicity 1)  6 O 2.36-2.39
O: 0.1141 0.5395 0.7720 (multiplicity 2)  1 Nb 2.05
O: 0.1801 0.7738 0.0633 (multiplicity 2)  1 Nb 2.04
O: 0.2170 0.8185 0.4538 (multiplicity 2)  1 Nb 2.03
O: 0.2787 0.3154 0.0553 (multiplicity 2)  1 Nb 2.04
O: 0.3254 0.2791 0.4367 (multiplicity 2)  1 Nb 2.05
O: 0.3991 0.0491 0.7290 (multiplicity 2)  1 Nb 2.04

A plane-wave DFT calculation with PBE-GGA was carried out for an optimized crystal structure of EuTiNbBi2O9.

Properties
Magnetic moment ... 5.96 μB per formula unit
E ... -8.032 eV/atom

a b c (Å): 5.4691 5.5179 13.0021
angles (deg): 90.00 101.66 90.00
With the nearest neighbours (Å) after each atom.
Space group P2_1 (No. 4)
Asymmetric unit:
Eu: 0.2459 0.0000 0.9997 (multiplicity 2)  8 O 2.36-2.59
Ti: 0.3306 0.4734 0.1684 (multiplicity 2)  3 O 1.81-1.93
Nb: 0.1749 0.4700 0.8313 (multiplicity 2)  4 O 1.89-2.05
Bi: 0.0209 0.0518 0.6008 (multiplicity 2)  4 O 2.22-2.48
Bi: 0.4249 0.0611 0.3975 (multiplicity 2)  3 O 2.21-2.34
O: 0.0193 0.4632 0.6877 (multiplicity 2)  1 Nb 1.89
O: 0.0255 0.2340 0.1222 (multiplicity 2)  1 Nb 1.99, 1 Ti 2.12
O: 0.0954 0.7316 0.1229 (multiplicity 2)  1 Ti 1.93, 1 Nb 2.15
O: 0.2401 0.2821 0.5011 (multiplicity 2)  3 Bi 2.21-2.32
O: 0.2614 0.7819 0.5015 (multiplicity 2)  3 Bi 2.22-2.34
O: 0.3228 0.4554 0.3070 (multiplicity 2)  1 Ti 1.81
O: 0.3273 0.4341 0.9999 (multiplicity 2)  1 Nb 2.19, 1 Ti 2.20, 2 Eu 2.36-2.44
O: 0.3708 0.1540 0.8300 (multiplicity 2)  1 Ti 1.91, 1 Nb 2.05
O: 0.4691 0.6585 0.8294 (multiplicity 2)  1 Nb 1.92, 1 Ti 2.05

A plane-wave DFT calculation with PBE-GGA was carried out for an optimized crystal structure of EuNbZnBiO6.

Properties
Magnetic moment ... 6.76 μB per formula unit
E ... -7.464 eV/atom

a b c (Å): 8.0731 8.0731 8.0731
angles (deg): 90.00 90.00 90.00
With the nearest neighbours (Å) after each atom.
Space group F-43m (No. 216)
Asymmetric unit:
Eu: 0.0000 0.0000 0.0000 (multiplicity 4)  12 O 2.85
Nb: 0.2500 0.2500 0.2500 (multiplicity 4)  6 O 1.99
Zn: 0.2500 0.2500 0.7500 (multiplicity 4)  6 O 2.04
Bi: 0.0000 0.0000 0.5000 (multiplicity 4)  12 O 2.85
O: 0.0031 0.2500 0.2500 (multiplicity 24)  1 Nb 1.99, 1 Zn 2.04

A plane-wave DFT calculation with PBE-GGA was carried out for an optimized crystal structure of NdEuBi2.

Properties
Calculated formation energy ... -0.831 eV/atom
Energy above the most stable polymorph in this dataset ... 0 meV/atom
Magnetic moment ... 6.70 μB per formula unit
E ... -6.532 eV/atom

a b c (Å): 4.6108 4.6108 23.1528
angles (deg): 90.00 90.00 120.00
With the nearest neighbours (Å) after each atom.
Space group R-3m (No. 166, hexagonal axes)
Asymmetric unit:
Nd: 0.0000 0.0000 0.0000 (multiplicity 3)  6 Bi 3.27
Eu: 0.0000 0.0000 0.5000 (multiplicity 3)  6 Bi 3.31
Bi: 0.0000 0.0000 0.2517 (multiplicity 6)  3 Nd 3.27, 3 Eu 3.31

A plane-wave DFT calculation with PBE-GGA was carried out for an optimized crystal structure of NdEuBi2.

Properties
Calculated formation energy ... -0.761 eV/atom
Energy above the most stable polymorph in this dataset ... 70 meV/atom
Magnetic moment ... 6.88 μB per formula unit
E ... -6.462 eV/atom

a b c (Å): 6.0167 6.0167 3.5242
angles (deg): 90.00 90.00 90.00
With the nearest neighbours (Å) after each atom.
Space group P4/mmm (No. 123)
Asymmetric unit:
Nd: 0.0000 0.0000 0.0000 (multiplicity 1)  8 Bi 3.49, 2 Nd 3.52
Eu: 0.5000 0.5000 0.0000 (multiplicity 1)  8 Bi 3.49, 2 Eu 3.52
Bi: 0.0000 0.5000 0.5000 (multiplicity 2)  4 Eu 3.49, 4 Nd 3.49, 2 Bi 3.52

A plane-wave DFT calculation with PBE-GGA was carried out for an optimized crystal structure of NdEuBi.

Properties
Calculated formation energy ... -0.547 eV/atom
Magnetic moment ... 8.86 μB per formula unit
E ... -6.855 eV/atom

a b c (Å): 4.2722 4.2722 10.8846
angles (deg): 90.00 90.00 90.00
With the nearest neighbours (Å) after each atom.
Space group I4mm (No. 107)
Asymmetric unit:
Nd: 0.0000 0.0000 0.0000 (multiplicity 2)  5 Eu 3.32-3.69, 4 Bi 3.40
Eu: 0.0000 0.0000 0.6947 (multiplicity 2)  5 Nd 3.32-3.69, 5 Bi 3.50-3.68
Bi: 0.0000 0.0000 0.3569 (multiplicity 2)  4 Nd 3.40, 5 Eu 3.50-3.68